Record 1
Density functional theory data (SCAN) for a crystal of CaPdSe2Br relaxed with PBEsol.

The structure belongs to space group P4/mmm (No. 123); the cell edges are 5.3726, 5.3726 and 5.3047 Å and the angles 90.00°, 90.00° and 90.00°. Symmetry generates all atoms from Ca at (0.0000, 0.0000, 0.0000), Pd at (0.5000, 0.5000, 0.5000), Se at (0.0000, 0.5000, 0.0000) and Br at (0.0000, 0.0000, 0.5000).

The uncorrected formation energy is 0.063 eV per atom. The calculation puts the calculated volume at 30.62 Å³/atom. The value obtained for the density of states at the Fermi level is 0.8139 states/eV per atom. As for the total magnetization: 2.929 μB/cell.

***

Record 2
Density functional theory data (SCAN) for a crystal of CaPtBr2 relaxed with PBEsol.

The structure belongs to space group Cm (No. 8); the cell edges are 14.1420, 3.6598 and 3.9326 Å and the angles 90.00°, 106.05° and 90.00°. Symmetry generates all atoms from Ca at (0.0000, 0.0000, 0.0000), Pt at (0.3367, 0.0000, 0.8378), Br at (0.0947, 0.5000, 0.5942) and Br at (0.3351, 0.5000, 0.3361).

The uncorrected formation energy is -0.968 eV per atom. The calculation puts the calculated volume at 24.45 Å³/atom. The value obtained for the density of states at the Fermi level is 0.2600 states/eV per atom. As for the total magnetization: 0.000 μB/cell. The calculation puts the energy above the most stable polymorph in this dataset at 0.0 kJ/mol of atoms.

***

Record 3
Density functional theory data (SCAN) for a crystal of CaPtBr2 relaxed with PBEsol.

The structure belongs to space group Immm (No. 71); the cell edges are 4.2470, 5.4458 and 7.6161 Å and the angles 90.00°, 90.00° and 90.00°. Symmetry generates all atoms from Ca at (0.0000, 0.0000, 0.0000), Pt at (0.0000, 0.0000, 0.5000) and Br at (0.0000, 0.5000, 0.2153).

The uncorrected formation energy is -0.730 eV per atom. The calculation puts the calculated volume at 22.02 Å³/atom. The value obtained for the density of states at the Fermi level is 0.0402 states/eV per atom. As for the total magnetization: 0.000 μB/cell. The calculation puts the energy above the most stable polymorph in this dataset at 22.9 kJ/mol of atoms.

***

Record 4
Density functional theory data (SCAN) for a crystal of CaPtBr3 relaxed with PBEsol.

The structure belongs to space group Pm-3m (No. 221); the cell edges are 5.1281, 5.1281 and 5.1281 Å and the angles 90.00°, 90.00° and 90.00°. Symmetry generates all atoms from Ca at (0.0000, 0.0000, 0.0000), Pt at (0.5000, 0.5000, 0.5000) and Br at (0.0000, 0.5000, 0.5000).

The uncorrected formation energy is -0.719 eV per atom. The calculation puts the calculated volume at 26.97 Å³/atom. The value obtained for the density of states at the Fermi level is 0.2665 states/eV per atom. As for the total magnetization: 0.000 μB/cell.

***

Record 5
Density functional theory data (SCAN) for a crystal of CaTl2PtBr relaxed with PBEsol.

The structure belongs to space group P4/mmm (No. 123); the cell edges are 5.1868, 5.1868 and 5.5667 Å and the angles 90.00°, 90.00° and 90.00°. Symmetry generates all atoms from Ca at (0.0000, 0.0000, 0.0000), Tl at (0.0000, 0.5000, 0.5000), Pt at (0.5000, 0.5000, 0.5000) and Br at (0.5000, 0.5000, 0.0000).

The uncorrected formation energy is -0.157 eV per atom. The calculation puts the calculated volume at 29.95 Å³/atom. The value obtained for the density of states at the Fermi level is 0.5325 states/eV per atom. As for the total magnetization: 0.000 μB/cell.

***

Record 6
Density functional theory data (SCAN) for a crystal of RbCaBr3 relaxed with PBEsol.

The structure belongs to space group Pm-3m (No. 221); the cell edges are 5.6198, 5.6198 and 5.6198 Å and the angles 90.00°, 90.00° and 90.00°. Symmetry generates all atoms from Rb at (0.0000, 0.0000, 0.0000), Ca at (0.5000, 0.5000, 0.5000) and Br at (0.0000, 0.5000, 0.5000).

The uncorrected formation energy is -2.141 eV per atom. The calculation puts the calculated volume at 35.50 Å³/atom. The value obtained for the density of states at the Fermi level is 0.0000 states/eV per atom. As for the total magnetization: 0.000 μB/cell.